## Ho7Er3Mg2 (PBE)

Data for an optimized crystal structure of Ho7Er3Mg2.

a b c (Å): 5.683 3.511 18.325
angles (deg): 90.00 93.73 90.00
Positions (direct):
Ho 0.000 0.000 0.000
Ho 0.179 0.500 0.171
Ho 0.258 0.500 0.539
Ho 0.325 0.000 0.853
Ho 0.675 0.000 0.147
Ho 0.742 0.500 0.461
Ho 0.821 0.500 0.829
Er 0.222 0.000 0.369
Er 0.500 0.500 0.000
Er 0.778 0.000 0.631
Mg 0.297 0.500 0.706
Mg 0.703 0.500 0.294

Output
Calculated formation energy ... 100 meV per atom
Symmetry ... P2/m (10)

=====

## VCuAs2 (PBE)

Data for an optimized crystal structure of VCuAs2.

a b c (Å): 3.113 3.113 24.366
angles (deg): 90.00 90.00 120.00
Positions (direct):
V 0.000 0.000 0.000
V 0.333 0.667 0.667
V 0.667 0.333 0.333
Cu 0.000 0.000 0.500
Cu 0.333 0.667 0.167
Cu 0.667 0.333 0.833
As 0.000 0.000 0.404
As 0.000 0.000 0.596
As 0.333 0.667 0.071
As 0.333 0.667 0.262
As 0.667 0.333 0.738
As 0.667 0.333 0.929

Output
Calculated formation energy ... -116 meV per atom
Symmetry ... R-3m (166)

=====

## SrCa5 (PBE)

Data for an optimized crystal structure of SrCa5.

a b c (Å): 6.567 3.924 20.559
angles (deg): 90.00 90.00 90.00
Positions (direct):
Sr 0.000 0.000 0.000
Sr 0.000 0.500 0.500
Ca 0.000 0.000 0.330
Ca 0.000 0.000 0.670
Ca 0.000 0.500 0.170
Ca 0.000 0.500 0.830
Ca 0.500 0.000 0.112
Ca 0.500 0.000 0.441
Ca 0.500 0.000 0.777
Ca 0.500 0.500 0.277
Ca 0.500 0.500 0.612
Ca 0.500 0.500 0.941

Output
Calculated formation energy ... 12 meV per atom
Symmetry ... Amm2 (38)
Energy relative to the lowest polymorph listed for this composition ... 2 meV/atom

=====

## ZrMn2BiRu (PBE)

Data for an optimized crystal structure of ZrMn2BiRu.

a b c (Å): 4.920 4.920 4.782
angles (deg): 90.00 90.00 90.00
Positions (direct):
Zr 0.000 0.000 0.000
Mn 0.000 0.500 0.000
Mn 0.500 0.000 0.000
Bi 0.500 0.500 0.500
Ru 0.000 0.000 0.500

Output
Calculated formation energy ... 1177 meV per atom
Symmetry ... P4/mmm (123)

=====

## Rb2LiTeCl6 (PBE)

Data for an optimized crystal structure of Rb2LiTeCl6.

a b c (Å): 7.190 7.190 7.190
angles (deg): 113.57 113.57 101.55
Positions (direct):
Rb 0.250 0.750 0.500
Rb 0.750 0.250 0.500
Li 0.000 0.000 0.000
Te 0.500 0.500 0.000
Cl 0.234 0.234 0.000
Cl 0.248 0.248 0.495
Cl 0.248 0.752 0.000
Cl 0.752 0.248 0.000
Cl 0.752 0.752 0.505
Cl 0.766 0.766 0.000

Output
Uncorrected formation energy ... -1205 meV per atom
Symmetry ... I4/mmm (139)
Energy relative to the lowest polymorph listed for this composition ... 47 meV/atom

=====

## Cu3TcI9 (PBE)

Data for an optimized crystal structure of Cu3TcI9.

a b c (Å): 10.530 10.530 13.675
angles (deg): 122.56 122.56 55.32
Positions (direct):
Cu 0.054 0.946 0.500
Cu 0.286 0.502 0.595
Cu 0.502 0.286 0.095
Cu 0.556 0.709 0.438
Cu 0.709 0.556 0.938
Cu 0.946 0.054 0.000
Tc 0.035 0.491 0.769
Tc 0.491 0.035 0.269
I 0.022 0.738 0.518
I 0.042 0.777 0.825
I 0.053 0.187 0.709
I 0.160 0.343 0.583
I 0.187 0.053 0.209
I 0.247 0.801 0.379
I 0.343 0.160 0.083
I 0.357 0.415 0.927
I 0.415 0.357 0.427
I 0.441 0.681 0.781
I 0.599 0.716 0.126
I 0.600 0.948 0.465
I 0.681 0.441 0.281
I 0.716 0.599 0.626
I 0.738 0.022 0.018
I 0.777 0.042 0.325
I 0.801 0.247 0.879
I 0.948 0.600 0.965

Output
Uncorrected formation energy ... -55 meV per atom
Symmetry ... Cc (9)

=====

| no. | total moment (μB/f.u.) | VASP energy (eV per atom) |
| --- | --- | --- |
| 1 | 0.0 | -3.977 |
| 2 | 0.0 | -5.745 |
| 3 | 0.0 | -1.936 |
| 4 | 6.7 | -6.832 |
| 5 | 1.0 | -3.012 |
| 6 | 1.8 | -2.871 |